A relaxed structure of NiSeO2. Source: the Alexandria database, functional GGA+U.

abc: 6.388 3.064 6.882
angles: 89.90 107.74 61.41
Site moments in Bohr magnetons follow the coordinates.
Atoms (fractional coordinates):
Ni  0.166  0.646  0.523  1.55
Ni  0.545  0.766  0.875  1.75
O  0.384  0.928  0.563  0.03
O  0.797  0.015  0.888  0.03
O  0.594  0.718  0.186  -0.04
O  0.267  0.544  0.851  0.06
Se  0.772  0.539  0.445  -0.12
Se  0.119  0.692  0.041  0.00

Values from the calculation:
Uncorrected energy   -4.551 eV per atom
Space-group type   P1, No. 1
Crystal system   triclinic
Total moment   3.26 μB per cell